This record from Alexandria describes a geometry-optimized TaTeMo2F structure. The functional is PBE with a Hubbard U.

Geometry as CIF:
```
data_TaTeMo2F
_chemical_formula_sum 'Ta1 Te1 Mo2 F1'
_cell_length_a 5.3512
_cell_length_b 5.3512
_cell_length_c 4.0518
_cell_angle_alpha 90.00
_cell_angle_beta 90.00
_cell_angle_gamma 90.00
_space_group_name_H-M_alt 'P 4/m m m'
_space_group_IT_number 123
_space_group_name_Hall '-P 4 2'
loop_
_atom_site_label
_atom_site_fract_x
_atom_site_fract_y
_atom_site_fract_z
Ta1 0.0000 0.0000 0.0000
Te1 0.5000 0.5000 0.5000
Mo1 0.0000 0.5000 0.0000
F1 0.0000 0.0000 0.5000
```

## Properties
Total energy (eV for the cell shown): -28.5
Magnetization (μB per cell): 6.20